Entry 1:
Computed, not measured: an optimized crystal structure of Dy4SI5 at the PBE level of DFT.

Cell: 4.0622 8.7106 9.6760 Å, 103.21 102.12 90.00°
Last column: nearest neighbours and their distance in Å.
Element x y z (fractional)
Dy  0.3592  0.9353  0.7185  1 S 2.59
Dy  0.0022  0.7986  0.0043  2 S 2.69
Dy  0.9978  0.2014  0.9957  2 S 2.69
Dy  0.6408  0.0647  0.2815  1 S 2.59
S  0.5000  0.0000  0.0000  6 Dy 2.59-2.69
I  0.8370  0.6643  0.6740  3 Dy 3.07
I  0.5000  0.5000  0.0000  4 Dy 3.29
I  0.1726  0.8205  0.3453  4 Dy 3.10-3.44
I  0.1630  0.3357  0.3260  3 Dy 3.07
I  0.8274  0.1795  0.6547  4 Dy 3.10-3.44

Calculated values
Total magnetization ... 0.00 μB per cell
Formation energy without anion corrections ... -1.32 eV/atom

---

Entry 2:
Computed, not measured: an optimized crystal structure of CsCI2N at the PBE level of DFT.

Cell: 7.4534 7.4534 6.9116 Å, 90.00 90.00 90.00°
Last column: nearest neighbours and their distance in Å.
Element x y z (fractional)
I  0.0000  0.5000  0.0000  2 Cs 3.73
I  0.5000  0.0000  0.0000  2 Cs 3.73
C  0.5000  0.5000  0.5000  8 I 5.08, 4 N 5.27
Cs  0.0000  0.0000  0.0000  2 N 3.46, 4 I 3.73
N  0.0000  0.0000  0.5000  2 Cs 3.46

Calculated values
Total magnetization ... 5.86 μB per cell
Formation energy without anion corrections ... 2.26 eV/atom
Energy relative to the lowest polymorph listed for this composition ... 35.58 kcal/mol of atoms

---

Entry 3:
Computed, not measured: an optimized crystal structure of MnBe2VCd at the PBE level of DFT.

Cell: 4.1717 4.9199 4.1717 Å, 90.00 90.00 90.00°
Last column: nearest neighbours and their distance in Å.
Element x y z (fractional)
Mn  0.5000  0.5000  0.5000  4 Cd 2.95, 8 Be 3.23
Be  0.5000  0.0000  0.0000  2 V 2.09
Be  0.0000  0.0000  0.5000  2 V 2.09
Cd  0.0000  0.5000  0.0000  2 V 2.46
V  0.0000  0.0000  0.0000  4 Be 2.09

Calculated values
Total magnetization ... 1.42 μB per cell
Formation enthalpy at 0 K ... 1.824 eV per atom

---

Entry 4:
Computed, not measured: an optimized crystal structure of Sr2Sb3Rh5 at the PBE level of DFT.

Cell: 4.3785 7.1631 13.8894 Å, 90.00 99.07 90.00°
Last column: nearest neighbours and their distance in Å.
Element x y z (fractional)
Rh  0.5996  0.8586  0.1992  3 Sb 2.57-2.71
Rh  0.2922  0.9192  0.5844  4 Sb 2.65-2.80, 1 Rh 2.93
Rh  0.7078  0.4192  0.4156  4 Sb 2.65-2.80, 1 Rh 2.93
Rh  0.8697  0.7648  0.7394  4 Sb 2.61-2.74
Rh  0.0688  0.6087  0.1376  3 Sb 2.65-2.72, 2 Rh 2.95
Rh  0.2764  0.5151  0.5528  3 Sb 2.60-2.61
Rh  0.4004  0.3586  0.8008  3 Sb 2.57-2.71
Rh  0.7236  0.0151  0.4472  3 Sb 2.60-2.61
Rh  0.1303  0.2648  0.2606  4 Sb 2.61-2.74
Rh  0.9312  0.1087  0.8624  3 Sb 2.65-2.72, 2 Rh 2.95
Sb  0.9357  0.4878  0.8715  4 Rh 2.57-2.72
Sb  0.2242  0.2106  0.4485  7 Rh 2.60-2.80
Sb  0.0643  0.9878  0.1285  4 Rh 2.57-2.72
Sb  0.7758  0.7106  0.5515  7 Rh 2.60-2.80
Sb  0.3872  0.9840  0.7744  6 Rh 2.65-2.74
Sb  0.6128  0.4840  0.2256  6 Rh 2.65-2.74
Sr  0.8216  0.2525  0.6432  9 Rh 3.14-3.34, 5 Sb 3.43-3.51
Sr  0.4892  0.7636  0.9783  3 Rh 3.10-3.29, 5 Sb 3.21-3.41
Sr  0.1784  0.7525  0.3568  9 Rh 3.14-3.34, 5 Sb 3.43-3.51
Sr  0.5108  0.2636  0.0217  3 Rh 3.10-3.29, 5 Sb 3.21-3.41

Calculated values
Total magnetization ... 0.00 μB per cell
Formation energy without anion corrections ... -0.48 eV/atom

---

- Look up the total magnetization of the third one.
  1.42 μB per cell

---

- What is the total magnetization in the third record?
  1.42 μB per cell

---

- Which of these has the highest total magnetization?
  CsCI2N